No. 1
Below is a geometry-optimized Nd6Si2Te3As structure, with properties calculated at the PBE level.

Computed properties:
The value obtained for the total energy is -5.7337 eV per atom. The value obtained for the uncorrected formation energy is -1273 meV/atom. The spin magnetization is 0.00 μB per formula unit.

Cell lengths 4.358, 8.892, 9.893 Å; angles 104.36, 102.73, 90.00 degrees
Sites, in units of the cell vectors:
Te 0.500 0.500 0.000
Te 0.165 0.834 0.331
Te 0.835 0.166 0.669
Nd 0.327 0.432 0.655
Nd 0.673 0.568 0.345
Nd 0.662 0.101 0.324
Nd 0.008 0.237 0.016
Nd 0.992 0.763 0.984
Nd 0.338 0.899 0.676
Si 0.834 0.667 0.667
Si 0.166 0.333 0.333
As 0.500 0.000 0.000


No. 2
Below is a geometry-optimized Tl3CuN structure, with properties calculated at the PBE level.

Computed properties:
The value obtained for the total energy is -2.7210 eV per atom. The offset from the most stable computed form comes out at 0.314 eV/atom. The value obtained for the uncorrected formation energy is 1183 meV/atom. The spin magnetization is 0.00 μB per formula unit.

Cell lengths 5.097, 5.097, 5.097 Å; angles 90.00, 90.00, 90.00 degrees
Sites, in units of the cell vectors:
Tl 0.500 0.000 0.000
Tl 0.000 0.500 0.000
Tl 0.000 0.000 0.500
Cu 0.000 0.000 0.000
N 0.500 0.500 0.500


No. 3
Below is a geometry-optimized InPPd4 structure, with properties calculated at the PBE level.

Computed properties:
The value obtained for the total energy is -5.3069 eV per atom. The calculation puts the calculated formation energy at -2.9 eV/f.u. The spin magnetization is 0.00 μB per formula unit.

Cell lengths 3.437, 6.902, 16.164 Å; angles 90.00, 90.00, 90.00 degrees
Sites, in units of the cell vectors:
Pd 0.250 0.632 0.145
Pd 0.250 0.135 0.544
Pd 0.750 0.865 0.456
Pd 0.750 0.493 0.565
Pd 0.250 0.132 0.355
Pd 0.250 0.053 0.795
Pd 0.750 0.993 0.935
Pd 0.750 0.365 0.044
Pd 0.250 0.635 0.956
Pd 0.750 0.447 0.295
Pd 0.750 0.868 0.645
Pd 0.750 0.947 0.205
Pd 0.250 0.007 0.065
Pd 0.250 0.507 0.435
Pd 0.250 0.553 0.705
Pd 0.750 0.368 0.855
P 0.250 0.246 0.944
P 0.750 0.254 0.444
P 0.750 0.754 0.056
P 0.250 0.746 0.556
In 0.250 0.259 0.190
In 0.750 0.241 0.690
In 0.750 0.741 0.810
In 0.250 0.759 0.310


No. 4
Below is a geometry-optimized CeDyAlAg structure, with properties calculated at the PBE level.

Computed properties:
The value obtained for the total energy is -4.4987 eV per atom. The calculation puts the calculated formation energy at -0.9 eV/f.u. The spin magnetization is 1.27 μB per formula unit.

Cell lengths 5.212, 5.212, 5.212 Å; angles 60.00, 60.00, 60.00 degrees
Last column: magnetic moment on the atom in μB.
Sites, in units of the cell vectors:
Dy 0.000 0.000 0.000  0.17
Ce 0.500 0.500 0.500  0.79
Al 0.750 0.750 0.750  -0.01
Ag 0.250 0.250 0.250  0.04


No. 5
Below is a geometry-optimized Ta2PtN structure, with properties calculated at the PBE level.

Computed properties:
The value obtained for the total energy is -9.7383 eV per atom. The value obtained for the uncorrected formation energy is -220 meV/atom. The spin magnetization is 0.00 μB per formula unit.

Cell lengths 2.927, 2.927, 8.215 Å; angles 79.74, 79.74, 60.00 degrees
Sites, in units of the cell vectors:
Ta 0.892 0.892 0.324
Ta 0.108 0.108 0.676
Pt 0.000 0.000 0.000
N 0.500 0.500 0.500


No. 6
Below is a geometry-optimized La5TbBi6 structure, with properties calculated at the PBE level.

Computed properties:
The value obtained for the total energy is -5.4023 eV per atom. The calculation puts the calculated formation energy at -12.3 eV/f.u. The spin magnetization is 0.00 μB per formula unit.

Cell lengths 8.092, 8.091, 8.092 Å; angles 60.00, 80.39, 70.50 degrees
Sites, in units of the cell vectors:
La 0.500 0.169 0.663
La 0.000 0.334 0.332
La 0.500 0.500 0.000
La 0.500 0.831 0.337
La 0.000 0.666 0.668
Bi 0.752 0.756 0.000
Bi 0.245 0.918 0.673
Bi 0.755 0.082 0.327
Bi 0.245 0.591 0.327
Bi 0.755 0.409 0.673
Bi 0.248 0.244 0.000
Tb 0.000 0.000 0.000


Look up the spin magnetization of the second one. 0.00 μB per formula unit


What is the formula in the third record? InPPd4


Which of these has the highest spin magnetization? CeDyAlAg


Which value of spin magnetization does entry 6 give? 0.00 μB per formula unit